Na3NdNp2Se6 (PBE, relaxed); space group = C2/m (12); total energy = -5.98 eV per atom
1.0
3.657 -6.335 0.000
3.657 6.335 0.000
-2.440 0.000 6.992
Na Nd Np Se
3 1 2 6
direct
0.000 0.000 0.000
0.335 0.665 0.000
0.665 0.335 0.000
0.500 0.500 0.500
0.167 0.833 0.500
0.833 0.167 0.500
0.082 0.422 0.267
0.238 0.238 0.734
0.422 0.082 0.267
0.578 0.918 0.733
0.762 0.762 0.266
0.918 0.578 0.733

***

Na3Nd2NpTe6 (PBE, relaxed); space group = C2/m (12); total energy = -4.92 eV per atom
1.0
3.928 -6.806 0.000
3.928 6.806 0.000
-2.616 0.000 7.551
Na Nd Np Te
3 2 1 6
direct
0.000 0.000 0.000
0.332 0.668 0.000
0.668 0.332 0.000
0.167 0.833 0.500
0.833 0.167 0.500
0.500 0.500 0.500
0.090 0.421 0.261
0.250 0.250 0.738
0.421 0.090 0.261
0.579 0.910 0.739
0.750 0.750 0.262
0.910 0.579 0.739

***

> The lowest total energy belongs to which entry?

Na3NdNp2Se6

***

> Look up the total energy of the second one.

-4.92 eV per atom

***

> Which formula does entry 1 have?

Na3NdNp2Se6